# 1
An optimized crystal structure of Sr2PmZn3Au12, computed with PBE.

```
data_Sr2PmZn3Au12
_cell_length_a 10.4628
_cell_length_b 10.4628
_cell_length_c 10.4628
_cell_angle_alpha 40.06
_cell_angle_beta 40.06
_cell_angle_gamma 40.06
_symmetry_space_group_name_H-M 'P 1'
_symmetry_Int_Tables_number 1
_symmetry_space_group_name_Hall 'P 1'
loop_
_atom_site_label
_atom_site_type_symbol
_atom_site_fract_x
_atom_site_fract_y
_atom_site_fract_z
_atom_site_occupancy
Sr1 Sr 0.1384 0.1384 0.1384 1
Sr2 Sr 0.8616 0.8616 0.8616 1
Pm1 Pm 0.5000 0.5000 0.5000 1
Zn1 Zn 0.0000 0.5000 0.5000 1
Zn2 Zn 0.5000 0.0000 0.5000 1
Zn3 Zn 0.5000 0.5000 0.0000 1
Au1 Au 0.0570 0.6259 0.6259 1
Au2 Au 0.0923 0.0923 0.6906 1
Au3 Au 0.0923 0.6906 0.0923 1
Au4 Au 0.3094 0.9077 0.9077 1
Au5 Au 0.3741 0.3741 0.9430 1
Au6 Au 0.3741 0.9430 0.3741 1
Au7 Au 0.6259 0.0570 0.6259 1
Au8 Au 0.6259 0.6259 0.0570 1
Au9 Au 0.6906 0.0923 0.0923 1
Au10 Au 0.9077 0.3094 0.9077 1
Au11 Au 0.9077 0.9077 0.3094 1
Au12 Au 0.9430 0.3741 0.3741 1
```

=====

# 2
An optimized crystal structure of TbPm3Au4, computed with PBE.

```
data_TbPm3Au4
_cell_length_a 8.9190
_cell_length_b 8.9190
_cell_length_c 8.9190
_cell_angle_alpha 154.74
_cell_angle_beta 133.16
_cell_angle_gamma 53.96
_symmetry_space_group_name_H-M 'P 1'
_symmetry_Int_Tables_number 1
_symmetry_space_group_name_Hall 'P 1'
loop_
_atom_site_label
_atom_site_type_symbol
_atom_site_fract_x
_atom_site_fract_y
_atom_site_fract_z
_atom_site_occupancy
Tb1 Tb 0.0000 0.0000 0.0000 1
Pm1 Pm 0.2041 0.7041 0.5000 1
Pm2 Pm 0.5000 0.5000 0.0000 1
Pm3 Pm 0.7959 0.2959 0.5000 1
Au1 Au 0.1671 0.8718 0.2953 1
Au2 Au 0.4234 0.1282 0.2953 1
Au3 Au 0.5766 0.8718 0.7047 1
Au4 Au 0.8329 0.1282 0.7047 1
```

=====

# 3
An optimized crystal structure of TbPm3Au2, computed with PBE.

```
data_TbPm3Au2
_cell_length_a 8.7574
_cell_length_b 8.7574
_cell_length_c 8.7574
_cell_angle_alpha 131.51
_cell_angle_beta 72.82
_cell_angle_gamma 129.25
_symmetry_space_group_name_H-M 'P 1'
_symmetry_Int_Tables_number 1
_symmetry_space_group_name_Hall 'P 1'
loop_
_atom_site_label
_atom_site_type_symbol
_atom_site_fract_x
_atom_site_fract_y
_atom_site_fract_z
_atom_site_occupancy
Tb1 Tb 0.0000 0.0000 0.0000 1
Tb2 Tb 0.5000 0.5000 0.0000 1
Pm1 Pm 0.0188 0.2500 0.7688 1
Pm2 Pm 0.2500 0.7500 0.5000 1
Pm3 Pm 0.4812 0.2500 0.2312 1
Pm4 Pm 0.5188 0.7500 0.7688 1
Pm5 Pm 0.7500 0.2500 0.5000 1
Pm6 Pm 0.9812 0.7500 0.2312 1
Au1 Au 0.1403 0.7053 0.8456 1
Au2 Au 0.3597 0.2053 0.5650 1
Au3 Au 0.6403 0.7947 0.4350 1
Au4 Au 0.8597 0.2947 0.1544 1
```

=====

# 4
An optimized crystal structure of TbPm2Au, computed with PBE.

```
data_TbPm2Au
_cell_length_a 3.7115
_cell_length_b 3.7115
_cell_length_c 8.5476
_cell_angle_alpha 90.00
_cell_angle_beta 90.00
_cell_angle_gamma 90.00
_symmetry_space_group_name_H-M 'P 1'
_symmetry_Int_Tables_number 1
_symmetry_space_group_name_Hall 'P 1'
loop_
_atom_site_label
_atom_site_type_symbol
_atom_site_fract_x
_atom_site_fract_y
_atom_site_fract_z
_atom_site_occupancy
Tb1 Tb 0.0000 0.0000 0.0000 1
Pm1 Pm 0.5000 0.5000 0.2895 1
Pm2 Pm 0.5000 0.5000 0.7105 1
Au1 Au 0.0000 0.0000 0.5000 1
```

=====

# 5
An optimized crystal structure of TbPm2Au3, computed with PBE.

```
data_TbPm2Au3
_cell_length_a 3.6465
_cell_length_b 3.6465
_cell_length_c 11.1079
_cell_angle_alpha 90.00
_cell_angle_beta 90.00
_cell_angle_gamma 90.00
_symmetry_space_group_name_H-M 'P 1'
_symmetry_Int_Tables_number 1
_symmetry_space_group_name_Hall 'P 1'
loop_
_atom_site_label
_atom_site_type_symbol
_atom_site_fract_x
_atom_site_fract_y
_atom_site_fract_z
_atom_site_occupancy
Tb1 Tb 0.0000 0.0000 0.0000 1
Pm1 Pm 0.0000 0.0000 0.3310 1
Pm2 Pm 0.0000 0.0000 0.6690 1
Au1 Au 0.5000 0.5000 0.1576 1
Au2 Au 0.5000 0.5000 0.5000 1
Au3 Au 0.5000 0.5000 0.8424 1
```

=====

# 6
An optimized crystal structure of Tb4Pm3Au4, computed with PBE.

```
data_Tb4Pm3Au4
_cell_length_a 9.1707
_cell_length_b 9.1707
_cell_length_c 9.1707
_cell_angle_alpha 149.09
_cell_angle_beta 129.96
_cell_angle_gamma 59.98
_symmetry_space_group_name_H-M 'P 1'
_symmetry_Int_Tables_number 1
_symmetry_space_group_name_Hall 'P 1'
loop_
_atom_site_label
_atom_site_type_symbol
_atom_site_fract_x
_atom_site_fract_y
_atom_site_fract_z
_atom_site_occupancy
Tb1 Tb 0.0427 0.8275 0.2152 1
Tb2 Tb 0.3877 0.1725 0.2152 1
Tb3 Tb 0.6123 0.8275 0.7848 1
Tb4 Tb 0.9573 0.1725 0.7848 1
Pm1 Pm 0.0000 0.5000 0.5000 1
Pm2 Pm 0.3977 0.3977 0.0000 1
Pm3 Pm 0.6023 0.6023 0.0000 1
Au1 Au 0.2052 0.7052 0.5000 1
Au2 Au 0.3110 0.0000 0.3110 1
Au3 Au 0.6890 0.0000 0.6890 1
Au4 Au 0.7948 0.2948 0.5000 1
```

=====

# 7
An optimized crystal structure of Tb2PmAu, computed with PBE.

```
data_Tb2PmAu
_cell_length_a 3.6505
_cell_length_b 3.6505
_cell_length_c 8.5795
_cell_angle_alpha 90.00
_cell_angle_beta 90.00
_cell_angle_gamma 90.00
_symmetry_space_group_name_H-M 'P 1'
_symmetry_Int_Tables_number 1
_symmetry_space_group_name_Hall 'P 1'
loop_
_atom_site_label
_atom_site_type_symbol
_atom_site_fract_x
_atom_site_fract_y
_atom_site_fract_z
_atom_site_occupancy
Tb1 Tb 0.0000 0.0000 0.2033 1
Tb2 Tb 0.0000 0.0000 0.7967 1
Pm1 Pm 0.5000 0.5000 0.5000 1
Au1 Au 0.5000 0.5000 0.0000 1
```

=====

# 8
An optimized crystal structure of TbPmAu3, computed with PBE.

```
data_TbPmAu3
_cell_length_a 9.5053
_cell_length_b 6.4189
_cell_length_c 7.6925
_cell_angle_alpha 90.00
_cell_angle_beta 93.20
_cell_angle_gamma 90.00
_symmetry_space_group_name_H-M 'P 1'
_symmetry_Int_Tables_number 1
_symmetry_space_group_name_Hall 'P 1'
loop_
_atom_site_label
_atom_site_type_symbol
_atom_site_fract_x
_atom_site_fract_y
_atom_site_fract_z
_atom_site_occupancy
Tb1 Tb 0.0752 0.1729 0.3218 1
Tb2 Tb 0.0752 0.3271 0.8218 1
Tb3 Tb 0.9248 0.6729 0.1782 1
Tb4 Tb 0.9248 0.8271 0.6782 1
Pm1 Pm 0.3974 0.6507 0.8068 1
Pm2 Pm 0.3974 0.8493 0.3068 1
Pm3 Pm 0.6026 0.1507 0.6932 1
Pm4 Pm 0.6026 0.3493 0.1932 1
Au1 Au 0.1361 0.6130 0.4838 1
Au2 Au 0.1361 0.8870 0.9838 1
Au3 Au 0.2389 0.0096 0.6288 1
Au4 Au 0.2389 0.4904 0.1288 1
Au5 Au 0.3789 0.1503 0.9612 1
Au6 Au 0.3789 0.3497 0.4612 1
Au7 Au 0.6211 0.6503 0.5388 1
Au8 Au 0.6211 0.8497 0.0388 1
Au9 Au 0.7611 0.5095 0.8712 1
Au10 Au 0.7611 0.9904 0.3712 1
Au11 Au 0.8639 0.1130 0.0162 1
Au12 Au 0.8639 0.3870 0.5162 1
```

=====

Computed energy of formation from the pure elements, in the same sequence as the records: -5.040, -5.183, -2.460, -1.418, -4.857, -6.198, -1.587, -3.872 eV/f.u..
Computed magnetic moment, in the same sequence as the records: 0.000, 0.000, 0.000, 0.000, 0.000, 0.000, 0.000, 0.000 μB per atom.